VCuSF2 | PBE+U | optimized geometry

Cell lengths 4.143, 4.753, 4.143 Å; angles 90.00, 90.00, 90.00 degrees
Last column: magnetic moment on the atom in μB.
Sites, in units of the cell vectors:
S: 0.000 0.000 0.000  -0.04
F: 0.000 0.000 0.500  0.01
F: 0.500 0.000 0.000  0.00
Cu: 0.500 0.500 0.500  -0.06
V: 0.000 0.500 0.000  0.12

Summary:
**Raw total energy**: -17.92 eV for the cell shown
**Magnetic moment**: 0.0 μB/f.u.